[1]
DFT (PBE) results for crystalline Sm2GaRu at its relaxed geometry. Values from VASP.

Results
E	-5.891	eV per atom
ΔE_f	-0.456	eV per atom
mass density	8.2	g cm⁻³

Quantum ESPRESSO input file:
```
&SYSTEM
  ibrav = 0, nat = 8, ntyp = 3
/
ATOMIC_SPECIES
Sm 150.36 Sm.upf
Ga 69.72 Ga.upf
Ru 101.07 Ru.upf
CELL_PARAMETERS angstrom
3.8429 0.0000 0.0000
0.0000 6.1105 -0.0508
0.0000 -3.1158 8.1680
ATOMIC_POSITIONS angstrom
Sm 2.8821 0.0039 3.3696
Sm 0.9607 2.9907 4.7476
Sm 0.9607 4.6086 0.4063
Sm 2.8821 -1.6140 7.7109
Ga 2.8821 2.9699 2.2913
Ga 0.9607 0.0248 5.8259
Ru 0.9607 1.3114 1.7209
Ru 2.8821 1.6832 6.3963
```

[2]
DFT (PBE) results for crystalline Tm2AlGa2 at its relaxed geometry. Values from VASP.

Results
E	-4.360	eV per atom
ΔE_f	-0.612	eV per atom
mass density	7.9	g cm⁻³
energy above the most stable polymorph in this dataset	0	meV per atom

Quantum ESPRESSO input file:
```
&SYSTEM
  ibrav = 0, nat = 20, ntyp = 3
/
ATOMIC_SPECIES
Tm 168.93 Tm.upf
Al 26.98 Al.upf
Ga 69.72 Ga.upf
CELL_PARAMETERS angstrom
6.9167 0.0000 0.0000
0.0000 6.9167 0.0000
0.0000 0.0000 8.8121
ATOMIC_POSITIONS angstrom
Tm 4.6517 5.7236 4.4060
Tm 2.2650 1.1931 4.4060
Tm 5.7234 2.2652 0.0000
Tm 1.1933 4.6515 0.0000
Tm 5.7236 2.2650 4.4060
Tm 1.1931 4.6517 4.4060
Tm 2.2652 1.1933 0.0000
Tm 4.6515 5.7234 0.0000
Al 3.4584 3.4584 2.2040
Al 0.0000 0.0000 6.6100
Al 3.4584 3.4584 6.6081
Al 0.0000 0.0000 2.2021
Ga 2.5551 6.0134 2.2030
Ga 4.3617 0.9033 2.2030
Ga 0.9033 2.5551 6.6091
Ga 6.0134 4.3617 6.6091
Ga 6.0134 4.3617 2.2030
Ga 0.9033 2.5551 2.2030
Ga 2.5551 6.0134 6.6091
Ga 4.3617 0.9033 6.6091
```

[3]
DFT (PBE) results for crystalline LiB3C at its relaxed geometry. Values from VASP.

Results
E	-3.167	eV per atom
ΔE_f	3.067	eV per atom
mass density	1.9	g cm⁻³
energy above the most stable polymorph in this dataset	2959	meV per atom

Quantum ESPRESSO input file:
```
&SYSTEM
  ibrav = 0, nat = 5, ntyp = 3
/
ATOMIC_SPECIES
C 12.01 C.upf
B 10.81 B.upf
Li 6.94 Li.upf
CELL_PARAMETERS angstrom
3.5578 0.0000 0.0000
0.0000 3.5578 0.0000
0.0000 0.0000 3.5578
ATOMIC_POSITIONS angstrom
C 1.7789 1.7789 1.7789
B 0.0000 1.7789 0.0000
B 0.0000 0.0000 1.7789
B 1.7789 0.0000 0.0000
Li 0.0000 0.0000 0.0000
```